Entry from Alexandria: a relaxed structure of TlCrCuHg2 (PBE-GGA).

Unit cell a=5.2905 b=5.2905 c=5.3987 alpha=90.00 beta=90.00 gamma=90.00
Element x y z (fractional)
Tl  0.0000  0.0000  0.0000
Cr  0.0000  0.0000  0.5000
Cu  0.5000  0.5000  0.0000
Hg  0.0000  0.5000  0.5000
Hg  0.5000  0.0000  0.5000

## Properties
- Formation enthalpy at 0 K: 0.8072 eV per atom
- Space-group type: P4/mmm (123)

Entry from Alexandria: a relaxed structure of ZnAgPO2 (PBE-GGA).

Unit cell a=3.7570 b=3.7570 c=5.3914 alpha=90.00 beta=90.00 gamma=90.00
Element x y z (fractional)
Zn  0.0000  0.0000  0.0000
Ag  0.5000  0.5000  0.5000
P  0.0000  0.0000  0.5000
O  0.0000  0.5000  0.0000
O  0.5000  0.0000  0.0000

## Properties
- Uncorrected formation energy: 0.285 eV per atom
- Space-group type: P4/mmm (123)
- Distance to the lowest polymorph of the same formula: 0.0 meV/atom

Entry from Alexandria: a relaxed structure of Te2HPdI (PBE-GGA).

Unit cell a=5.3066 b=5.3066 c=5.7259 alpha=90.00 beta=90.00 gamma=90.00
Element x y z (fractional)
Te  0.0000  0.5000  0.0000
Te  0.5000  0.0000  0.0000
H  0.0000  0.0000  0.5000
Pd  0.5000  0.5000  0.0000
I  0.5000  0.5000  0.5000

## Properties
- Space-group type: P4/mmm (123)
- Distance to the lowest polymorph of the same formula: 198.2 meV/atom

Entry from Alexandria: a relaxed structure of NaTlCoBr4 (PBE-GGA).

Unit cell a=7.1441 b=7.4992 c=8.8579 alpha=90.00 beta=107.16 gamma=90.00
Element x y z (fractional)
Na  0.2295  0.2500  0.0583
Na  0.7705  0.7500  0.9417
Tl  0.2445  0.2500  0.5625
Tl  0.7555  0.7500  0.4375
Co  0.2300  0.7500  0.8199
Co  0.7700  0.2500  0.1801
Br  0.0068  0.5018  0.7723
Br  0.0068  0.9982  0.7723
Br  0.4235  0.7500  0.6405
Br  0.4407  0.7500  0.0843
Br  0.5593  0.2500  0.9157
Br  0.5765  0.2500  0.3595
Br  0.9932  0.0018  0.2277
Br  0.9932  0.4982  0.2277

## Properties
- Uncorrected formation energy: -0.806 eV per atom
- Space-group type: P2_1/m (11)